A plane-wave DFT calculation with PBE with a Hubbard U was carried out for a relaxed KCrCdC6N6O crystal.

Output
**N(E_F)**: 8.33 states/eV per cell
**Electronic total energy**: -7.104 eV per atom

a b c (Å): 7.909 7.909 7.909
angles (deg): 60.00 60.00 60.00
Each line ends with the local moment (μB).
Element x y z (fractional)
K1 0.250 0.250 0.250  0.00
Cr1 0.000 0.000 0.000  2.86
Cd1 0.500 0.500 0.500  0.00
C1 0.186 0.814 0.186  -0.05
C2 0.814 0.186 0.186  -0.05
C3 0.814 0.814 0.186  -0.05
C4 0.814 0.186 0.814  -0.05
C5 0.186 0.186 0.814  -0.05
C6 0.186 0.814 0.814  -0.05
N1 0.291 0.709 0.291  0.04
N2 0.709 0.291 0.291  0.04
N3 0.709 0.709 0.291  0.04
N4 0.709 0.291 0.709  0.04
N5 0.291 0.291 0.709  0.04
N6 0.291 0.709 0.709  0.04
O1 0.750 0.750 0.750  1.54